1.
Here is a relaxed Pr3Er2Pb4 crystal from Alexandria. Energies are from PBE.

Output
DFT formation energy   -0.434 eV per atom
Offset from the most stable computed form   0.034 eV per atom
V   32.3 Å³/atom
Calculated total energy   -4.689 eV per atom
Size of the total moment   0.000 μB per formula unit

abc: 7.3311 7.3311 10.1323
angles: 116.38 116.38 37.21
Fractional positions:
Pr 0.0000 0.0000 0.0000
Pr 0.3738 0.3738 0.3026
Pr 0.6262 0.6262 0.6974
Er 0.3201 0.3201 0.6510
Er 0.6799 0.6799 0.3490
Pb 0.0674 0.0674 0.4072
Pb 0.3028 0.3028 0.9407
Pb 0.6972 0.6972 0.0593
Pb 0.9326 0.9326 0.5928

2.
Here is a relaxed ZrBe3Rh3 crystal from Alexandria. Energies are from PBE.

Output
DFT formation energy   0.014 eV per atom
V   14.7 Å³/atom
Calculated total energy   -5.955 eV per atom
Size of the total moment   0.000 μB per formula unit

abc: 5.9082 5.9082 5.9082
angles: 90.00 90.00 90.00
Fractional positions:
Zr 0.0000 0.0000 0.0000
Zr 0.5000 0.5000 0.5000
Be 0.0000 0.2500 0.5000
Be 0.0000 0.7500 0.5000
Be 0.2500 0.5000 0.0000
Be 0.5000 0.0000 0.2500
Be 0.5000 0.0000 0.7500
Be 0.7500 0.5000 0.0000
Rh 0.0000 0.5000 0.2500
Rh 0.0000 0.5000 0.7500
Rh 0.2500 0.0000 0.5000
Rh 0.5000 0.2500 0.0000
Rh 0.5000 0.7500 0.0000
Rh 0.7500 0.0000 0.5000

Q: Look up the DFT formation energy of the second one.
A: 0.014 eV per atom

Q: Which value of size of the total moment does entry 2 give?
A: 0.000 μB per formula unit